(1)
# ErFeCuSi2 (PBE-GGA, optimized geometry)
data_ErFeCuSi2
_space_group_name_H-M_alt 'I -4 m 2'
_space_group_IT_number 119
_space_group_name_Hall 'I -4 -2'
_cell_length_a 3.936
_cell_length_b 3.936
_cell_length_c 9.789
_cell_angle_alpha 90.00
_cell_angle_beta 90.00
_cell_angle_gamma 90.00
loop_
_atom_site_label
_atom_site_type_symbol
_atom_site_fract_x
_atom_site_fract_y
_atom_site_fract_z
Er1 Er 0.000 0.000 0.000
Fe1 Fe 0.000 0.500 0.250
Cu1 Cu 0.000 0.500 0.750
Si1 Si 0.000 0.000 0.379
# Density (g/cm3): 7.507
# Spin magnetization (μB/f.u.): 1.609
# Uncorrected energy (eV per atom): -6.06
# Volume (Å³/cell): 152

***

(2)
# ErGa6Cu6 (PBE-GGA, optimized geometry)
data_ErGa6Cu6
_space_group_name_H-M_alt 'I m m m'
_space_group_IT_number 71
_space_group_name_Hall '-I 2 2'
_cell_length_a 5.147
_cell_length_b 8.508
_cell_length_c 8.685
_cell_angle_alpha 90.00
_cell_angle_beta 90.00
_cell_angle_gamma 90.00
loop_
_atom_site_label
_atom_site_type_symbol
_atom_site_fract_x
_atom_site_fract_y
_atom_site_fract_z
Er1 Er 0.000 0.000 0.000
Ga1 Ga 0.000 0.000 0.347
Ga2 Ga 0.000 0.346 0.000
Ga3 Ga 0.000 0.500 0.308
Cu1 Cu 0.000 0.268 0.500
Cu2 Cu 0.250 0.250 0.250
# Density (g/cm3): 8.442
# Spin magnetization (μB/f.u.): 0.000
# Uncorrected energy (eV per atom): -3.75
# Volume (Å³/cell): 380

***

(3)
# ErGa2Cu (PBE-GGA, optimized geometry)
data_ErGa2Cu
_space_group_name_H-M_alt 'P 1 21/m 1'
_space_group_IT_number 11
_space_group_name_Hall '-P 2yb'
_cell_length_a 3.891
_cell_length_b 4.103
_cell_length_c 9.321
_cell_angle_alpha 90.00
_cell_angle_beta 102.01
_cell_angle_gamma 90.00
loop_
_atom_site_label
_atom_site_type_symbol
_atom_site_fract_x
_atom_site_fract_y
_atom_site_fract_z
Er1 Er 0.108 0.250 0.216
Ga1 Ga 0.252 0.750 0.505
Ga2 Ga 0.461 0.250 0.927
Cu1 Cu 0.333 0.250 0.666
# Density (g/cm3): 8.447
# Spin magnetization (μB/f.u.): 0.002
# Uncorrected energy (eV per atom): -4.09
# Volume (Å³/cell): 146

***

(4)
# ErGaCu (PBE-GGA, optimized geometry)
data_ErGaCu
_space_group_name_H-M_alt 'F -4 3 m'
_space_group_IT_number 216
_space_group_name_Hall 'F -4 2 3'
_cell_length_a 6.301
_cell_length_b 6.301
_cell_length_c 6.301
_cell_angle_alpha 90.00
_cell_angle_beta 90.00
_cell_angle_gamma 90.00
loop_
_atom_site_label
_atom_site_type_symbol
_atom_site_fract_x
_atom_site_fract_y
_atom_site_fract_z
Er1 Er 0.000 0.000 0.000
Ga1 Ga 0.250 0.250 0.750
Cu1 Cu 0.000 0.000 0.500
# Density (g/cm3): 7.981
# Spin magnetization (μB/f.u.): 0.010
# Uncorrected energy (eV per atom): -3.88
# Volume (Å³/cell): 250

***

uncorrected energy of number 3 (ErGa2Cu)?
-4.09 eV per atom

***

Which formula does entry 4 have?
ErGaCu

***

The highest uncorrected energy belongs to which entry?
ErGa6Cu6